[1]
Material: InCu3O6
Method: DFT, PBE
State: relaxed

Unit cell a=5.9584 b=5.9584 c=3.2210 alpha=90.00 beta=90.00 gamma=109.23
Element x y z (fractional)
In: 0.0000 0.0000 0.0000
Cu: 0.0000 0.5000 0.5000
Cu: 0.5000 0.0000 0.5000
Cu: 0.5000 0.5000 0.0000
O: 0.1549 0.8451 0.5000
O: 0.1755 0.4312 0.0000
O: 0.4312 0.1755 0.0000
O: 0.5688 0.8245 0.0000
O: 0.8245 0.5688 0.0000
O: 0.8451 0.1549 0.5000

E_form (uncorrected) (meV per atom): -680
Uncorrected energy (eV per atom): -5.16

[2]
Material: InCuO
Method: DFT, PBE
State: relaxed

Unit cell a=10.0516 b=3.3187 c=3.3187 alpha=59.96 beta=90.00 gamma=90.00
Element x y z (fractional)
In: 0.2000 0.0000 0.0000
In: 0.8000 0.0000 0.0000
Cu: 0.0000 0.6653 0.6653
Cu: 0.5000 0.6675 0.6675
O: 0.3166 0.6671 0.6671
O: 0.6834 0.6671 0.6671

E_form (uncorrected) (meV per atom): -571
Uncorrected energy (eV per atom): -4.50

[3]
Material: In3Cu3O8
Method: DFT, PBE
State: relaxed

Unit cell a=6.1755 b=10.1885 c=5.9937 alpha=90.00 beta=110.31 gamma=90.00
Element x y z (fractional)
In: 0.0000 0.0000 0.0000
In: 0.0000 0.5000 0.5000
In: 0.0432 0.1668 0.5192
In: 0.0432 0.3332 0.0192
In: 0.9568 0.6668 0.9808
In: 0.9568 0.8332 0.4808
Cu: 0.4814 0.6923 0.5087
Cu: 0.4814 0.8077 0.0087
Cu: 0.5000 0.0000 0.5000
Cu: 0.5000 0.5000 0.0000
Cu: 0.5186 0.1923 0.9913
Cu: 0.5186 0.3077 0.4913
O: 0.1544 0.6718 0.3803
O: 0.1544 0.8282 0.8803
O: 0.1743 0.5103 0.8926
O: 0.1743 0.9897 0.3926
O: 0.1976 0.1591 0.9142
O: 0.1976 0.3409 0.4142
O: 0.4813 0.1535 0.6667
O: 0.4813 0.3465 0.1667
O: 0.5187 0.6535 0.8333
O: 0.5187 0.8465 0.3333
O: 0.8024 0.6591 0.5858
O: 0.8024 0.8409 0.0858
O: 0.8257 0.0103 0.6074
O: 0.8257 0.4897 0.1074
O: 0.8456 0.1718 0.1197
O: 0.8456 0.3282 0.6197

E_form (uncorrected) (meV per atom): -1072
Uncorrected energy (eV per atom): -5.37

[4]
Material: In2Cu2O5
Method: DFT, PBE
State: relaxed

Unit cell a=13.5680 b=3.3475 c=10.7218 alpha=90.00 beta=113.26 gamma=90.00
Element x y z (fractional)
In: 0.1645 0.0329 0.4193
In: 0.1645 0.9671 0.9193
In: 0.3352 0.4617 0.2546
In: 0.3352 0.5383 0.7546
In: 0.6648 0.4617 0.2454
In: 0.6648 0.5383 0.7454
In: 0.8355 0.0329 0.0807
In: 0.8355 0.9671 0.5807
Cu: 0.0535 0.4157 0.6423
Cu: 0.0535 0.5843 0.1423
Cu: 0.4467 0.0895 0.5889
Cu: 0.4467 0.9105 0.0889
Cu: 0.5533 0.0895 0.9111
Cu: 0.5533 0.9105 0.4111
Cu: 0.9465 0.4157 0.8577
Cu: 0.9465 0.5843 0.3577
O: 0.0000 0.0756 0.7500
O: 0.0000 0.9244 0.2500
O: 0.0971 0.4616 0.9943
O: 0.0971 0.5384 0.4943
O: 0.1937 0.4796 0.8003
O: 0.1937 0.5204 0.3003
O: 0.3062 0.0380 0.6066
O: 0.3062 0.9620 0.1066
O: 0.4029 0.0362 0.8971
O: 0.4029 0.9638 0.3971
O: 0.5000 0.4315 0.7500
O: 0.5000 0.5685 0.2500
O: 0.5971 0.0362 0.6029
O: 0.5971 0.9638 0.1029
O: 0.6938 0.0380 0.8934
O: 0.6938 0.9620 0.3934
O: 0.8063 0.4796 0.6997
O: 0.8063 0.5204 0.1997
O: 0.9029 0.4616 0.5057
O: 0.9029 0.5384 0.0057

E_form (uncorrected) (meV per atom): -1089
Uncorrected energy (eV per atom): -5.36

[5]
Material: In2Cu2O5
Method: DFT, PBE
State: relaxed

Unit cell a=10.7236 b=3.3479 c=12.4645 alpha=90.00 beta=90.00 gamma=90.00
Element x y z (fractional)
In: 0.0381 0.2137 0.0000
In: 0.2120 0.2162 0.3293
In: 0.2880 0.7162 0.8293
In: 0.4619 0.7137 0.5000
In: 0.5381 0.2863 0.0000
In: 0.7120 0.2838 0.3293
In: 0.7880 0.7838 0.8293
In: 0.9619 0.7863 0.5000
Cu: 0.0094 0.3330 0.7183
Cu: 0.2401 0.1593 0.6114
Cu: 0.2599 0.6593 0.1114
Cu: 0.4906 0.8330 0.2183
Cu: 0.5094 0.1670 0.7183
Cu: 0.7401 0.3407 0.6114
Cu: 0.7599 0.8407 0.1114
Cu: 0.9906 0.6670 0.2183
O: 0.0705 0.2841 0.5677
O: 0.0783 0.7286 0.3587
O: 0.1246 0.3230 0.1651
O: 0.1716 0.7133 0.9711
O: 0.1792 0.2109 0.7620
O: 0.3208 0.7109 0.2620
O: 0.3284 0.2133 0.4711
O: 0.3754 0.8230 0.6651
O: 0.4217 0.2286 0.8586
O: 0.4295 0.7841 0.0677
O: 0.5705 0.2159 0.5677
O: 0.5783 0.7714 0.3587
O: 0.6246 0.1770 0.1651
O: 0.6716 0.7867 0.9711
O: 0.6792 0.2891 0.7620
O: 0.8208 0.7891 0.2620
O: 0.8284 0.2867 0.4711
O: 0.8754 0.6770 0.6651
O: 0.9217 0.2715 0.8586
O: 0.9295 0.7159 0.0677

E_form (uncorrected) (meV per atom): -1089
Uncorrected energy (eV per atom): -5.36

[6]
Material: In3CuO
Method: DFT, PBE
State: relaxed

Unit cell a=4.7605 b=4.7605 c=4.7605 alpha=90.00 beta=90.00 gamma=90.00
Element x y z (fractional)
In: 0.0000 0.0000 0.5000
In: 0.0000 0.5000 0.0000
In: 0.5000 0.0000 0.0000
Cu: 0.5000 0.5000 0.5000
O: 0.0000 0.0000 0.0000

Energy relative to the lowest polymorph listed for this composition (eV per atom): 0.000
E_form (uncorrected) (meV per atom): 15
Uncorrected energy (eV per atom): -3.44

[7]
Material: InCu3O
Method: DFT, PBE
State: relaxed

Unit cell a=4.8054 b=4.8054 c=4.8054 alpha=90.00 beta=90.00 gamma=90.00
Element x y z (fractional)
In: 0.0000 0.0000 0.0000
Cu: 0.0000 0.0000 0.5000
Cu: 0.0000 0.5000 0.0000
Cu: 0.5000 0.0000 0.0000
O: 0.5000 0.5000 0.5000

Energy relative to the lowest polymorph listed for this composition (eV per atom): 1.394
E_form (uncorrected) (meV per atom): 1378
Uncorrected energy (eV per atom): -2.62

[8]
Material: InCu3O4
Method: DFT, PBE
State: relaxed

Unit cell a=5.1891 b=5.1891 c=5.1891 alpha=90.00 beta=90.00 gamma=90.00
Element x y z (fractional)
In: 0.0000 0.0000 0.0000
Cu: 0.0000 0.0000 0.5000
Cu: 0.0000 0.5000 0.0000
Cu: 0.5000 0.0000 0.0000
O: 0.2293 0.2293 0.2293
O: 0.2293 0.7707 0.7707
O: 0.7707 0.2293 0.7707
O: 0.7707 0.7707 0.2293

E_form (uncorrected) (meV per atom): -82
Uncorrected energy (eV per atom): -4.44

[9]
Material: In3CuO
Method: DFT, PBE
State: relaxed

Unit cell a=4.9071 b=4.9071 c=4.9071 alpha=90.00 beta=90.00 gamma=90.00
Element x y z (fractional)
In: 0.0000 0.0000 0.5000
In: 0.0000 0.5000 0.0000
In: 0.5000 0.0000 0.0000
Cu: 0.0000 0.0000 0.0000
O: 0.5000 0.5000 0.5000

Energy relative to the lowest polymorph listed for this composition (eV per atom): 0.259
E_form (uncorrected) (meV per atom): 274
Uncorrected energy (eV per atom): -3.18

[10]
Material: InCu3O
Method: DFT, PBE
State: relaxed

Unit cell a=4.1348 b=4.1348 c=4.1348 alpha=90.00 beta=90.00 gamma=90.00
Element x y z (fractional)
In: 0.0000 0.0000 0.0000
Cu: 0.0000 0.5000 0.5000
Cu: 0.5000 0.0000 0.5000
Cu: 0.5000 0.5000 0.0000
O: 0.5000 0.5000 0.5000

Energy relative to the lowest polymorph listed for this composition (eV per atom): 0.000
E_form (uncorrected) (meV per atom): -16
Uncorrected energy (eV per atom): -4.01

[11]
Material: InCu2PO6
Method: DFT, PBE
State: relaxed

Unit cell a=6.6985 b=6.6985 c=6.7612 alpha=105.94 beta=105.94 gamma=69.09
Element x y z (fractional)
In: 0.2406 0.7594 0.7500
In: 0.7594 0.2406 0.2500
Cu: 0.2949 0.3175 0.9035
Cu: 0.3175 0.2949 0.4035
Cu: 0.6825 0.7051 0.5965
Cu: 0.7051 0.6825 0.0965
P: 0.1488 0.8512 0.2500
P: 0.8512 0.1488 0.7500
O: 0.1007 0.1287 0.8034
O: 0.1287 0.1007 0.3034
O: 0.2480 0.4285 0.6662
O: 0.2623 0.7231 0.0638
O: 0.2769 0.7377 0.4362
O: 0.4285 0.2480 0.1662
O: 0.5715 0.7520 0.8338
O: 0.7231 0.2623 0.5638
O: 0.7377 0.2769 0.9362
O: 0.7520 0.5715 0.3338
O: 0.8713 0.8993 0.6966
O: 0.8993 0.8713 0.1966

E_form (uncorrected) (meV per atom): -1313
Uncorrected energy (eV per atom): -5.92

[12]
Material: In2Cu3P4O16
Method: DFT, PBE
State: relaxed

Unit cell a=9.0934 b=8.9098 c=8.0060 alpha=90.00 beta=107.68 gamma=90.00
Element x y z (fractional)
In: 0.2441 0.0006 0.2454
In: 0.2441 0.4994 0.7454
In: 0.7559 0.5006 0.2546
In: 0.7559 0.9994 0.7546
Cu: 0.0000 0.0000 0.5000
Cu: 0.0000 0.5000 0.0000
Cu: 0.4035 0.6265 0.3851
Cu: 0.4035 0.8735 0.8851
Cu: 0.5965 0.1265 0.1149
Cu: 0.5965 0.3735 0.6149
P: 0.0860 0.6874 0.3539
P: 0.0860 0.8126 0.8539
P: 0.4025 0.1621 0.6580
P: 0.4025 0.3379 0.1580
P: 0.5975 0.6621 0.8420
P: 0.5975 0.8379 0.3420
P: 0.9140 0.1874 0.1461
P: 0.9140 0.3126 0.6461
O: 0.0608 0.1397 0.1062
O: 0.0608 0.3603 0.6062
O: 0.0873 0.6360 0.8420
O: 0.0873 0.8640 0.3420
O: 0.1102 0.6268 0.1851
O: 0.1102 0.8732 0.6851
O: 0.2349 0.6316 0.5036
O: 0.2349 0.8684 0.0036
O: 0.2726 0.1095 0.4997
O: 0.2726 0.3905 0.9997
O: 0.4040 0.1624 0.1876
O: 0.4040 0.3376 0.6876
O: 0.4049 0.0853 0.8307
O: 0.4049 0.4147 0.3307
O: 0.4347 0.6485 0.8777
O: 0.4347 0.8515 0.3777
O: 0.5653 0.1485 0.6223
O: 0.5653 0.3515 0.1223
O: 0.5951 0.5853 0.6693
O: 0.5951 0.9147 0.1693
O: 0.5960 0.6624 0.3124
O: 0.5960 0.8376 0.8124
O: 0.7274 0.6095 0.0003
O: 0.7274 0.8905 0.5003
O: 0.7651 0.1316 0.9964
O: 0.7651 0.3684 0.4964
O: 0.8898 0.1268 0.3149
O: 0.8898 0.3732 0.8149
O: 0.9127 0.1360 0.6580
O: 0.9127 0.3640 0.1580
O: 0.9392 0.6397 0.3938
O: 0.9392 0.8603 0.8938

E_form (uncorrected) (meV per atom): -1709
Uncorrected energy (eV per atom): -6.46